## ErAlSi (PBE-GGA)

Data for ErAlSi after structural relaxation.

Unit cell a=3.3555 b=3.3555 c=10.5041 alpha=90.00 beta=90.00 gamma=90.00
Space group I4mm (No. 107)
One atom of each set of equivalent atoms:
Er (0.0000, 0.0000, 0.0000) x2
Al (0.0000, 0.0000, 0.6987) x2
Si (0.0000, 0.0000, 0.3120) x2

Formation energy from raw total energies in eV per atom: -0.26

=====

## CsReI2 (PBE-GGA)

Data for CsReI2 after structural relaxation.

Unit cell a=8.6845 b=8.6845 c=8.6845 alpha=90.00 beta=90.00 gamma=90.00
Space group Fm-3m (No. 225)
One atom of each set of equivalent atoms:
Cs (0.0000, 0.0000, 0.0000) x4
Re (0.0000, 0.0000, 0.5000) x4
I (0.2500, 0.2500, 0.2500) x8

Formation energy from raw total energies in eV per atom: 0.77

=====

## YZn2Ir (PBE-GGA)

Data for YZn2Ir after structural relaxation.

Unit cell a=3.0579 b=3.0579 c=27.1835 alpha=90.00 beta=90.00 gamma=120.00
Space group R-3m (No. 166, hexagonal axes)
One atom of each set of equivalent atoms:
Y (0.0000, 0.0000, 0.0000) x3
Zn (0.0000, 0.0000, 0.2381) x6
Ir (0.0000, 0.0000, 0.5000) x3

Energy of formation in eV/atom: 0.08

=====

## RePtAu2 (PBE-GGA)

Data for RePtAu2 after structural relaxation.

Unit cell a=2.7819 b=4.9212 c=9.9732 alpha=90.00 beta=90.00 gamma=90.00
Space group Imm2 (No. 44)
One atom of each set of equivalent atoms:
Re (0.0000, 0.0000, 0.0000) x2
Pt (0.0000, 0.5000, 0.2788) x2
Au (0.0000, 0.0000, 0.5218) x2
Au (0.0000, 0.5000, 0.7497) x2

Energy of formation in eV/atom: 0.39

=====

## KCrRe (PBE-GGA)

Data for KCrRe after structural relaxation.

Unit cell a=6.4544 b=6.4544 c=6.4544 alpha=90.00 beta=90.00 gamma=90.00
Space group F-43m (No. 216)
One atom of each set of equivalent atoms:
K (0.0000, 0.0000, 0.0000) x4
Cr (0.2500, 0.2500, 0.7500) x4
Re (0.0000, 0.0000, 0.5000) x4

Energy of formation in eV/atom: 2.05

=====

## CsInHgAu2 (PBE-GGA)

Data for CsInHgAu2 after structural relaxation.

Unit cell a=5.4518 b=5.4518 c=5.7858 alpha=90.00 beta=90.00 gamma=90.00
Space group P4/mmm (No. 123)
One atom of each set of equivalent atoms:
Cs (0.0000, 0.0000, 0.0000) x1
In (0.5000, 0.5000, 0.5000) x1
Hg (0.5000, 0.5000, 0.0000) x1
Au (0.0000, 0.5000, 0.5000) x2

Energy of formation in eV/atom: -0.15

=====

## MgIn2W (PBE-GGA)

Data for MgIn2W after structural relaxation.

Unit cell a=7.6917 b=7.6917 c=5.9182 alpha=90.00 beta=90.00 gamma=90.00
Space group I-42d (No. 122)
One atom of each set of equivalent atoms:
Mg (0.0000, 0.0000, 0.0000) x4
In (0.2422, 0.2500, 0.6250) x8
W (0.0000, 0.0000, 0.5000) x4

Energy of formation in eV/atom: 0.86

=====

## TbSi3Rh9 (PBE-GGA)

Data for TbSi3Rh9 after structural relaxation.

Unit cell a=5.0694 b=12.7527 c=6.2896 alpha=90.00 beta=108.67 gamma=90.00
Space group C2/m (No. 12)
One atom of each set of equivalent atoms:
Tb (0.0000, 0.0000, 0.0000) x2
Si (0.0000, 0.5000, 0.5000) x2
Si (0.2500, 0.2500, 0.0000) x4
Rh (0.0000, 0.0000, 0.5000) x2
Rh (0.0939, 0.3879, 0.2261) x8
Rh (0.1323, 0.1799, 0.3236) x8

Formation energy from raw total energies in eV per atom: -0.57

=====

## Ca2HoTl3 (PBE-GGA)

Data for Ca2HoTl3 after structural relaxation.

Unit cell a=3.8413 b=3.8413 c=11.6024 alpha=90.00 beta=90.00 gamma=90.00
Space group P4/mmm (No. 123)
One atom of each set of equivalent atoms:
Ca (0.0000, 0.0000, 0.1677) x2
Ho (0.0000, 0.0000, 0.5000) x1
Tl (0.5000, 0.5000, 0.0000) x1
Tl (0.5000, 0.5000, 0.3399) x2

Energy of formation in eV/atom: -0.40

=====

## SrAgPb4 (PBE-GGA)

Data for SrAgPb4 after structural relaxation.

Unit cell a=9.2072 b=9.2072 c=9.2072 alpha=90.00 beta=90.00 gamma=90.00
Space group F-43m (No. 216)
One atom of each set of equivalent atoms:
Sr (0.0000, 0.0000, 0.0000) x4
Ag (0.2500, 0.2500, 0.7500) x4
Pb (0.1252, 0.1252, 0.3748) x16

Energy of formation in eV/atom: -0.02

=====

## Tb6AlCu (PBE-GGA)

Data for Tb6AlCu after structural relaxation.

Unit cell a=5.0349 b=5.0349 c=17.3767 alpha=90.00 beta=90.00 gamma=90.00
Space group I4/mmm (No. 139)
One atom of each set of equivalent atoms:
Tb (0.0000, 0.0000, 0.2472) x4
Tb (0.0000, 0.5000, 0.1034) x8
Al (0.0000, 0.0000, 0.0000) x2
Cu (0.0000, 0.0000, 0.5000) x2

Energy of formation in eV/atom: -0.12

=====

## CaDyTm2Te4 (PBE-GGA)

Data for CaDyTm2Te4 after structural relaxation.

Unit cell a=7.5424 b=4.3375 c=7.5654 alpha=90.00 beta=109.13 gamma=90.00
Space group P2/m (No. 10)
One atom of each set of equivalent atoms:
Ca (0.0000, 0.0000, 0.0000) x1
Dy (0.0000, 0.5000, 0.5000) x1
Tm (0.5000, 0.0000, 0.5000) x1
Tm (0.5000, 0.5000, 0.0000) x1
Te (0.2554, 0.0000, 0.7508) x2
Te (0.2568, 0.5000, 0.2536) x2

Formation energy from raw total energies in eV per atom: -1.31

=====

## DySc2Ga6 (PBE-GGA)

Data for DySc2Ga6 after structural relaxation.

Unit cell a=7.6146 b=7.6146 c=3.3413 alpha=90.00 beta=90.00 gamma=120.00
Space group P6/mmm (No. 191)
One atom of each set of equivalent atoms:
Dy (0.0000, 0.0000, 0.0000) x1
Sc (0.3333, 0.6667, 0.0000) x2
Ga (0.0000, 0.3367, 0.5000) x6

Energy of formation in eV/atom: -0.56

=====

## Sr2LaCo2 (PBE-GGA)

Data for Sr2LaCo2 after structural relaxation.

Unit cell a=7.3424 b=7.3424 c=5.0090 alpha=90.00 beta=90.00 gamma=90.00
Space group P4/mbm (No. 127)
One atom of each set of equivalent atoms:
Sr (0.1680, 0.3320, 0.0000) x4
La (0.0000, 0.0000, 0.5000) x2
Co (0.1082, 0.6082, 0.5000) x4

Energy of formation in eV/atom: 0.27

=====

## Ba2MnSb (PBE-GGA)

Data for Ba2MnSb after structural relaxation.

Unit cell a=3.9675 b=3.9675 c=9.7126 alpha=90.00 beta=90.00 gamma=90.00
Space group P4mm (No. 99)
One atom of each set of equivalent atoms:
Ba (0.0000, 0.0000, 0.0000) x1
Ba (0.5000, 0.5000, 0.3965) x1
Mn (0.0000, 0.0000, 0.6611) x1
Sb (0.5000, 0.5000, 0.7472) x1

Formation energy from raw total energies in eV per atom: -0.01

=====

## Ti5Rh4Au (PBE-GGA)

Data for Ti5Rh4Au after structural relaxation.

Unit cell a=3.1106 b=3.1106 c=16.0205 alpha=90.00 beta=90.00 gamma=90.00
Space group P4/mmm (No. 123)
One atom of each set of equivalent atoms:
Ti (0.0000, 0.0000, 0.0000) x1
Ti (0.0000, 0.0000, 0.1937) x2
Ti (0.0000, 0.0000, 0.3868) x2
Rh (0.5000, 0.5000, 0.0953) x2
Rh (0.5000, 0.5000, 0.2872) x2
Au (0.5000, 0.5000, 0.5000) x1

Energy of formation in eV/atom: -0.65

=====

## ScInFe2 (PBE-GGA)

Data for ScInFe2 after structural relaxation.

Unit cell a=10.1182 b=3.2378 c=4.4434 alpha=90.00 beta=115.95 gamma=90.00
Space group Cm (No. 8)
One atom of each set of equivalent atoms:
Sc (0.0000, 0.0000, 0.0000) x2
In (0.2205, 0.0000, 0.7200) x2
Fe (0.2737, 0.5000, 0.2731) x2
Fe (0.4649, 0.0000, 0.4646) x2

Energy of formation in eV/atom: -0.04

=====

## NdGa2Pt (PBE-GGA)

Data for NdGa2Pt after structural relaxation.

Unit cell a=4.2790 b=4.2790 c=15.6119 alpha=90.00 beta=90.00 gamma=120.00
Space group R-3m (No. 166, hexagonal axes)
One atom of each set of equivalent atoms:
Nd (0.0000, 0.0000, 0.0000) x3
Ga (0.0000, 0.0000, 0.2160) x6
Pt (0.0000, 0.0000, 0.5000) x3

Energy of formation in eV/atom: -0.84

=====

## PuSnPdRu (PBE-GGA)

Data for PuSnPdRu after structural relaxation.

Unit cell a=6.7345 b=6.7345 c=6.7345 alpha=90.00 beta=90.00 gamma=90.00
Space group F-43m (No. 216)
One atom of each set of equivalent atoms:
Pu (0.0000, 0.0000, 0.0000) x4
Sn (0.0000, 0.0000, 0.5000) x4
Pd (0.2500, 0.2500, 0.7500) x4
Ru (0.2500, 0.2500, 0.2500) x4

Energy of formation in eV/atom: -0.31

=====

## KGaF2 (PBE-GGA)

Data for KGaF2 after structural relaxation.

Unit cell a=3.9817 b=3.9817 c=22.0194 alpha=90.00 beta=90.00 gamma=120.00
Space group R-3m (No. 166, hexagonal axes)
One atom of each set of equivalent atoms:
K (0.0000, 0.0000, 0.0000) x3
Ga (0.0000, 0.0000, 0.5000) x3
F (0.0000, 0.0000, 0.1067) x6

Formation energy from raw total energies in eV per atom: -1.76

=====

## SrZrPt2 (PBE-GGA)

Data for SrZrPt2 after structural relaxation.

Unit cell a=3.4349 b=3.4349 c=7.5106 alpha=90.00 beta=90.00 gamma=90.00
Space group P4/mmm (No. 123)
One atom of each set of equivalent atoms:
Sr (0.0000, 0.0000, 0.0000) x1
Zr (0.0000, 0.0000, 0.5000) x1
Pt (0.5000, 0.5000, 0.3048) x2

Energy of formation in eV/atom: -0.91

=====

## Cd2Ni2P (PBE-GGA)

Data for Cd2Ni2P after structural relaxation.

Unit cell a=5.9489 b=5.9489 c=4.3931 alpha=90.00 beta=90.00 gamma=90.00
Space group P4/mbm (No. 127)
One atom of each set of equivalent atoms:
Cd (0.1640, 0.3360, 0.0000) x4
Ni (0.1596, 0.6596, 0.5000) x4
P (0.0000, 0.0000, 0.5000) x2

Energy of formation in eV/atom: -0.10

=====

## NaLi2CeHg4 (PBE-GGA)

Data for NaLi2CeHg4 after structural relaxation.

Unit cell a=5.1186 b=5.1186 c=24.9809 alpha=90.00 beta=90.00 gamma=120.00
Space group R-3m (No. 166, hexagonal axes)
One atom of each set of equivalent atoms:
Na (0.0000, 0.0000, 0.0000) x3
Li (0.0000, 0.0000, 0.2505) x6
Ce (0.0000, 0.0000, 0.5000) x3
Hg (0.0000, 0.0000, 0.1222) x6
Hg (0.0000, 0.0000, 0.3741) x6

Energy of formation in eV/atom: -0.28

=====

## Nb2PtS6 (PBE-GGA)

Data for Nb2PtS6 after structural relaxation.

Unit cell a=5.8183 b=5.8183 c=10.7088 alpha=90.00 beta=90.00 gamma=90.00
Space group P4_2/mnm (No. 136)
One atom of each set of equivalent atoms:
Nb (0.0000, 0.0000, 0.1488) x4
Pt (0.0000, 0.0000, 0.5000) x2
S (0.1921, 0.1921, 0.3295) x8
S (0.2131, 0.2131, 0.0000) x4

Formation energy from raw total energies in eV per atom: -0.64

=====

## NaCd2TcAs (PBE-GGA)

Data for NaCd2TcAs after structural relaxation.

Unit cell a=5.3211 b=5.3211 c=4.6856 alpha=90.00 beta=90.00 gamma=90.00
Space group P4/mmm (No. 123)
One atom of each set of equivalent atoms:
Na (0.0000, 0.0000, 0.0000) x1
Cd (0.0000, 0.5000, 0.5000) x2
Tc (0.5000, 0.5000, 0.5000) x1
As (0.5000, 0.5000, 0.0000) x1

Energy of formation in eV/atom: 0.10

=====

## V6CuC (PBE-GGA)

Data for V6CuC after structural relaxation.

Unit cell a=4.4569 b=4.8653 c=5.0107 alpha=98.52 beta=109.46 gamma=91.00
Space group P-1 (No. 2)
One atom of each set of equivalent atoms:
V (0.0543, 0.2956, 0.1365) x2
V (0.2121, 0.8538, 0.4432) x2
V (0.4175, 0.4055, 0.7372) x2
Cu (0.5000, 0.0000, 0.0000) x1
C (0.0000, 0.5000, 0.5000) x1

Energy of formation in eV/atom: -0.02